VASP calculation (PBE-GGA) on a geometry-optimized Ce6ZnRu2 structure.

The structure in POSCAR format:
```
Ce6ZnRu2
1.0
4.8768 0.0000 0.0000
-2.4384 5.0438 -0.4021
0.0000 -0.4287 8.6181
Ce Ru Zn
6 2 1
Direct
0.3891 0.7781 0.8228
0.9491 0.8982 0.1438
0.0509 0.1018 0.8562
0.6953 0.3906 0.5946
0.3047 0.6094 0.4054
0.6109 0.2219 0.1772
0.7277 0.4555 0.8775
0.2723 0.5445 0.1225
0.0000 0.0000 0.5000
```

As for the symmetry: No. 12. The spin magnetization comes out at 0.041 μB/f.u. As for the energy of formation: -0.270 eV per atom.

VASP calculation (PBE-GGA) on a geometry-optimized Tl2ZnP structure.

The structure in POSCAR format:
```
Tl2ZnP
1.0
-0.7449 5.7702 9.0248
-2.0159 2.9383 10.1292
1.2486 3.3837 10.1138
Zn Tl P
1 2 1
Direct
0.5000 0.5000 0.5000
0.2545 0.2545 0.2545
0.7455 0.7455 0.7455
0.0000 0.0000 0.0000
```

As for the symmetry: No. 166. The spin magnetization comes out at 0.000 μB/f.u. As for the energy of formation: 0.447 eV per atom.